# 1
Ba5Au3 | GGA-PBE | optimized geometry

Energy relative to the elements in meV per atom: -507
Relative energy among the computed polymorphs in meV/atom: 40

a b c (Å): 9.9266 9.9266 9.9266
angles (deg): 98.23 98.23 135.53
Fractional positions:
Ba 0.0828 0.7946 0.8774
Ba 0.2054 0.0828 0.2883
Ba 0.2500 0.7500 0.5000
Ba 0.2946 0.5828 0.8774
Ba 0.4172 0.2946 0.7117
Ba 0.5828 0.7054 0.2883
Ba 0.7054 0.4172 0.1226
Ba 0.7500 0.2500 0.5000
Ba 0.7946 0.9172 0.7117
Ba 0.9172 0.2054 0.1226
Au 0.1545 0.3455 0.5000
Au 0.2500 0.2500 0.0000
Au 0.3455 0.8455 0.1911
Au 0.6545 0.1545 0.8089
Au 0.7500 0.7500 0.0000
Au 0.8455 0.6545 0.5000


# 2
KBaEu | GGA-PBE | optimized geometry

Energy relative to the elements in meV per atom: 121
Relative energy among the computed polymorphs in meV/atom: 5

a b c (Å): 4.1780 4.1780 20.3108
angles (deg): 90.00 90.00 90.00
Fractional positions:
K 0.0000 0.0000 0.0000
K 0.5000 0.5000 0.5000
Ba 0.0000 0.0000 0.6816
Ba 0.5000 0.5000 0.1816
Eu 0.0000 0.0000 0.3328
Eu 0.5000 0.5000 0.8328


# 3
HoZrTl | GGA-PBE | optimized geometry

Energy relative to the elements in meV per atom: 141
Relative energy among the computed polymorphs in meV/atom: 251

a b c (Å): 7.6939 6.9398 5.2601
angles (deg): 76.83 61.43 41.74
Fractional positions:
Ho 0.1797 0.8203 0.1797
Ho 0.8203 0.1797 0.8203
Zr 0.2500 0.2500 0.2500
Zr 0.7500 0.7500 0.7500
Tl 0.3794 0.3794 0.6206
Tl 0.6206 0.6206 0.3794


# 4
K3Na4Bi2 | GGA-PBE | optimized geometry

Energy relative to the elements in meV per atom: -291

a b c (Å): 5.6946 5.6946 11.0896
angles (deg): 90.12 90.12 59.93
Fractional positions:
K 0.0000 0.0000 0.0000
K 0.3333 0.3333 0.4206
K 0.6667 0.6667 0.5794
Na 0.9997 0.9997 0.3014
Na 0.0003 0.0003 0.6986
Na 0.3333 0.3333 0.1037
Na 0.6667 0.6667 0.8963
Bi 0.3335 0.3335 0.7880
Bi 0.6665 0.6665 0.2120


# 5
Ho3Ti5H12 | GGA-PBE | optimized geometry

a b c (Å): 10.1769 10.1769 10.1769
angles (deg): 109.47 109.47 109.47
Fractional positions:
Ho 0.1250 0.2500 0.3750
Ho 0.1250 0.3750 0.7500
Ho 0.2500 0.3750 0.1250
Ho 0.2500 0.8750 0.6250
Ho 0.3750 0.1250 0.2500
Ho 0.3750 0.7500 0.1250
Ho 0.6250 0.2500 0.8750
Ho 0.6250 0.8750 0.7500
Ho 0.7500 0.1250 0.3750
Ho 0.7500 0.6250 0.8750
Ho 0.8750 0.6250 0.2500
Ho 0.8750 0.7500 0.6250
Ti 0.0000 0.0000 0.0000
Ti 0.0000 0.0000 0.5000
Ti 0.0000 0.5000 0.0000
Ti 0.0000 0.5000 0.5000
Ti 0.1250 0.7500 0.8750
Ti 0.1250 0.8750 0.2500
Ti 0.2500 0.1250 0.8750
Ti 0.2500 0.6250 0.3750
Ti 0.3750 0.2500 0.6250
Ti 0.3750 0.6250 0.7500
Ti 0.5000 0.0000 0.0000
Ti 0.5000 0.0000 0.5000
Ti 0.5000 0.5000 0.0000
Ti 0.5000 0.5000 0.5000
Ti 0.6250 0.3750 0.2500
Ti 0.6250 0.7500 0.3750
Ti 0.7500 0.3750 0.6250
Ti 0.7500 0.8750 0.1250
Ti 0.8750 0.1250 0.7500
Ti 0.8750 0.2500 0.1250
H 0.0450 0.2103 0.1312
H 0.0450 0.3347 0.9138
H 0.0791 0.7103 0.6653
H 0.0791 0.8688 0.4138
H 0.0862 0.6312 0.4209
H 0.0862 0.9550 0.6653
H 0.1312 0.0450 0.2103
H 0.1312 0.5862 0.9209
H 0.1653 0.2103 0.5791
H 0.1653 0.4550 0.5862
H 0.2103 0.1312 0.0450
H 0.2103 0.5791 0.1653
H 0.2897 0.3347 0.9209
H 0.2897 0.4550 0.3688
H 0.3347 0.9138 0.0450
H 0.3347 0.9209 0.2897
H 0.3688 0.2897 0.4550
H 0.3688 0.5791 0.9138
H 0.4138 0.0791 0.8688
H 0.4138 0.8347 0.5450
H 0.4209 0.0862 0.6312
H 0.4209 0.8347 0.7897
H 0.4550 0.3688 0.2897
H 0.4550 0.5862 0.1653
H 0.5450 0.4138 0.8347
H 0.5450 0.6312 0.7103
H 0.5791 0.1653 0.2103
H 0.5791 0.9138 0.3688
H 0.5862 0.1653 0.4550
H 0.5862 0.9209 0.1312
H 0.6312 0.4209 0.0862
H 0.6312 0.7103 0.5450
H 0.6653 0.0791 0.7103
H 0.6653 0.0862 0.9550
H 0.7103 0.5450 0.6312
H 0.7103 0.6653 0.0791
H 0.7897 0.4209 0.8347
H 0.7897 0.8688 0.9550
H 0.8347 0.5450 0.4138
H 0.8347 0.7897 0.4209
H 0.8688 0.4138 0.0791
H 0.8688 0.9550 0.7897
H 0.9138 0.0450 0.3347
H 0.9138 0.3688 0.5791
H 0.9209 0.1312 0.5862
H 0.9209 0.2897 0.3347
H 0.9550 0.6653 0.0862
H 0.9550 0.7897 0.8688


# 6
Ta2AsRu | GGA-PBE | optimized geometry

Energy relative to the elements in meV per atom: 44

a b c (Å): 3.0813 3.0813 25.3153
angles (deg): 90.00 90.00 120.00
Fractional positions:
Ta 0.0000 0.0000 0.0000
Ta 0.0000 0.0000 0.2423
Ta 0.3333 0.6667 0.6667
Ta 0.3333 0.6667 0.9090
Ta 0.6667 0.3333 0.3333
Ta 0.6667 0.3333 0.5756
As 0.0000 0.0000 0.7504
As 0.3333 0.6667 0.4170
As 0.6667 0.3333 0.0837
Ru 0.0000 0.0000 0.5012
Ru 0.3333 0.6667 0.1678
Ru 0.6667 0.3333 0.8345


Number 1: magnetic moment 0.00 Bohr magnetons per cell, V 634.3 Å³ per cell, E -2.938 eV/atom. Number 2: magnetic moment 15.72 Bohr magnetons per cell, V 354.5 Å³ per cell, E -4.311 eV/atom. Number 3: magnetic moment 0.00 Bohr magnetons per cell, V 160.2 Å³ per cell, E -5.023 eV/atom. Number 4: magnetic moment 0.87 Bohr magnetons per cell, V 311.2 Å³ per cell, E -2.106 eV/atom. Number 5: magnetic moment 0.01 Bohr magnetons per cell, V 811.4 Å³ per cell, E -5.078 eV/atom. Number 6: magnetic moment 0.00 Bohr magnetons per cell, V 208.2 Å³ per cell, E -9.363 eV/atom.